Cs2MgTi | PBE | relaxed

Results
E_tot (eV per atom): -1.753
Calculated volume (A^3/atom): 46.477
Fermi-level density of states (states/eV per cell): 19.291
Density (g/cm3): 3.02
Spin magnetization (μB per formula unit): 3.77
Space group: No. 225

a = 6.406 Å, b = 6.406 Å, c = 6.406 Å
α = 60.00°, β = 60.00°, γ = 60.00°
Positions (direct):
Cs 0.250 0.250 0.250
Cs 0.750 0.750 0.750
Mg 0.000 0.000 0.000
Ti 0.500 0.500 0.500

Cs2MgTiV | PBE | relaxed

Results
E_tot (eV per atom): -2.791
Calculated volume (A^3/atom): 42.696
Fermi-level density of states (states/eV per cell): 7.241
Density (g/cm3): 3.03
Spin magnetization (μB per formula unit): 1.89
Space group: No. 123

a = 6.992 Å, b = 6.992 Å, c = 4.367 Å
α = 90.00°, β = 90.00°, γ = 90.00°
Positions (direct):
Cs 0.000 0.500 0.000
Cs 0.500 0.000 0.000
Mg 0.000 0.000 0.500
Ti 0.500 0.500 0.000
V 0.500 0.500 0.500

CsMgTl2 | PBE | relaxed

Results
ΔE to the lowest computed polymorph (meV per atom): 31
E_tot (eV per atom): -1.836
Calculated volume (A^3/atom): 40.815
Fermi-level density of states (states/eV per cell): 2.112
Density (g/cm3): 5.76
Spin magnetization (μB per formula unit): 0.00
Space group: No. 160

a = 7.907 Å, b = 7.907 Å, c = 7.907 Å
α = 37.36°, β = 37.36°, γ = 37.36°
Positions (direct):
Cs 0.000 0.000 0.000
Mg 0.180 0.180 0.180
Tl 0.539 0.539 0.539
Tl 0.794 0.794 0.794

CsMgTl2 | PBE | relaxed

Results
ΔE to the lowest computed polymorph (meV per atom): 0
E_tot (eV per atom): -1.867
Calculated volume (A^3/atom): 33.416
Fermi-level density of states (states/eV per cell): 2.244
Density (g/cm3): 7.03
Spin magnetization (μB per formula unit): 0.00
Space group: No. 123

a = 3.796 Å, b = 3.796 Å, c = 9.278 Å
α = 90.00°, β = 90.00°, γ = 90.00°
Positions (direct):
Cs 0.000 0.000 0.000
Mg 0.000 0.000 0.500
Tl 0.500 0.500 0.313
Tl 0.500 0.500 0.687

CsMgTl | PBE | relaxed

Results
ΔE to the lowest computed polymorph (meV per atom): 68
E_tot (eV per atom): -1.592
Calculated volume (A^3/atom): 40.058
Fermi-level density of states (states/eV per cell): 3.895
Density (g/cm3): 5.00
Spin magnetization (μB per formula unit): 0.00
Space group: No. 6

a = 6.354 Å, b = 5.206 Å, c = 7.915 Å
α = 90.00°, β = 113.37°, γ = 90.00°
Positions (direct):
Cs 0.000 0.000 0.000
Cs 0.476 0.500 0.002
Mg 0.059 0.500 0.471
Mg 0.588 0.500 0.531
Tl 0.361 0.000 0.598
Tl 0.764 0.000 0.404

CsMgTl2 | PBE | relaxed

Results
ΔE to the lowest computed polymorph (meV per atom): 14
E_tot (eV per atom): -1.853
Calculated volume (A^3/atom): 37.007
Fermi-level density of states (states/eV per cell): 2.702
Density (g/cm3): 6.35
Spin magnetization (μB per formula unit): 0.00
Space group: No. 11

a = 6.569 Å, b = 5.098 Å, c = 9.363 Å
α = 90.00°, β = 109.22°, γ = 90.00°
Positions (direct):
Cs 0.216 0.250 0.427
Cs 0.784 0.750 0.573
Mg 0.199 0.250 0.916
Mg 0.801 0.750 0.084
Tl 0.284 0.750 0.132
Tl 0.382 0.750 0.805
Tl 0.618 0.250 0.195
Tl 0.716 0.250 0.868

CsMg3Tl2 | PBE | relaxed

Results
E_tot (eV per atom): -1.758
Calculated volume (A^3/atom): 33.377
Fermi-level density of states (states/eV per cell): 6.554
Density (g/cm3): 5.10
Spin magnetization (μB per formula unit): 0.00
Space group: No. 12

a = 9.826 Å, b = 9.826 Å, c = 9.311 Å
α = 112.36°, β = 112.36°, γ = 28.98°
Positions (direct):
Cs 0.159 0.159 0.066
Cs 0.841 0.841 0.934
Mg 0.026 0.026 0.360
Mg 0.313 0.313 0.551
Mg 0.418 0.418 0.363
Mg 0.582 0.582 0.637
Mg 0.687 0.687 0.449
Mg 0.974 0.974 0.640
Tl 0.176 0.176 0.640
Tl 0.473 0.473 0.813
Tl 0.527 0.527 0.187
Tl 0.824 0.824 0.360

CsMgTl3 | PBE | relaxed

Results
ΔE to the lowest computed polymorph (meV per atom): 47
E_tot (eV per atom): -1.933
Calculated volume (A^3/atom): 36.680
Fermi-level density of states (states/eV per cell): 10.848
Density (g/cm3): 6.97
Spin magnetization (μB per formula unit): 0.00
Space group: No. 14

a = 10.114 Å, b = 7.125 Å, c = 11.171 Å
α = 90.00°, β = 114.31°, γ = 90.00°
Positions (direct):
Cs 0.123 0.026 0.211
Cs 0.123 0.474 0.711
Cs 0.877 0.526 0.289
Cs 0.877 0.974 0.789
Mg 0.453 0.673 0.062
Mg 0.453 0.827 0.562
Mg 0.547 0.173 0.438
Mg 0.547 0.327 0.938
Tl 0.170 0.549 0.074
Tl 0.170 0.951 0.574
Tl 0.300 0.003 0.892
Tl 0.300 0.497 0.392
Tl 0.450 0.240 0.659
Tl 0.450 0.260 0.159
Tl 0.550 0.740 0.841
Tl 0.550 0.760 0.341
Tl 0.700 0.503 0.608
Tl 0.700 0.997 0.108
Tl 0.830 0.049 0.426
Tl 0.830 0.451 0.926

CsMg2Tl2 | PBE | relaxed

Results
ΔE to the lowest computed polymorph (meV per atom): 0
E_tot (eV per atom): -1.757
Calculated volume (A^3/atom): 35.091
Fermi-level density of states (states/eV per cell): 3.578
Density (g/cm3): 5.59
Spin magnetization (μB per formula unit): 0.00
Space group: No. 139

a = 7.526 Å, b = 7.526 Å, c = 7.526 Å
α = 139.87°, β = 139.87°, γ = 58.04°
Positions (direct):
Cs 0.000 0.000 0.000
Mg 0.250 0.750 0.500
Mg 0.750 0.250 0.500
Tl 0.372 0.372 0.000
Tl 0.628 0.628 0.000

CsMg2Tl2 | PBE | relaxed

Results
ΔE to the lowest computed polymorph (meV per atom): 23
E_tot (eV per atom): -1.734
Calculated volume (A^3/atom): 31.569
Fermi-level density of states (states/eV per cell): 5.612
Density (g/cm3): 6.21
Spin magnetization (μB per formula unit): 0.00
Space group: No. 127

a = 9.692 Å, b = 9.692 Å, c = 3.361 Å
α = 90.00°, β = 90.00°, γ = 90.00°
Positions (direct):
Cs 0.000 0.000 0.000
Cs 0.500 0.500 0.000
Mg 0.125 0.375 0.000
Mg 0.375 0.875 0.000
Mg 0.625 0.125 0.000
Mg 0.875 0.625 0.000
Tl 0.158 0.658 0.500
Tl 0.342 0.158 0.500
Tl 0.658 0.842 0.500
Tl 0.842 0.342 0.500